[1]
{"formula": "InAg2Br8", "functional": "PBE-GGA", "state": "relaxed", "lattice": [[-3.772, 2.761, 5.398], [-2.148, -6.048, 4.755], [5.208, 2.879, 5.328]], "species": ["Ag", "Br", "Br", "Br", "Ag", "Br", "Br", "Br", "Br", "In", "Br"], "fractional_positions": [[0.399, 0.151, 0.151], [0.193, 0.240, 0.918], [0.662, 0.260, 0.260], [0.338, 0.740, 0.740], [0.601, 0.849, 0.849], [0.807, 0.082, 0.760], [0.185, 0.437, 0.437], [0.807, 0.760, 0.082], [0.815, 0.563, 0.563], [0.000, 0.000, 0.000], [0.193, 0.918, 0.240]], "formation_energy_uncorrected_kj_per_mol_fu": -368, "dft_energy_ev_per_atom": -2.331, "magmom_total_mub_per_fu": 0.00, "volume_a3_per_fu": 409.81}



[2]
{"formula": "In2AgBr", "functional": "PBE-GGA", "state": "relaxed", "lattice": [[-0.219, -0.329, 3.495], [0.625, -6.008, -0.526], [4.980, 0.487, 0.358]], "species": ["In", "Ag", "Br", "In"], "fractional_positions": [[0.500, 0.500, 0.000], [0.500, 0.000, 0.500], [0.000, 0.500, 0.500], [0.000, 0.000, 0.000]], "formation_energy_uncorrected_kj_per_mol_fu": -10, "dft_energy_ev_per_atom": -2.525, "e_above_lowest_polymorph_mev_per_atom": 139.7, "magmom_total_mub_per_fu": 0.00, "volume_a3_per_fu": 106.97}



[3]
{"formula": "InAg3Br6", "functional": "PBE-GGA", "state": "relaxed", "lattice": [[-6.983, 3.213, 0.843], [-0.277, 1.967, -9.795], [-3.865, -8.964, 2.146]], "species": ["In", "Br", "Br", "Br", "Br", "Br", "Ag", "Br", "Ag", "In", "Ag", "Ag", "Br", "Ag", "Br", "Br", "Br", "Br", "Br", "Ag"], "fractional_positions": [[0.423, 0.796, 0.204], [0.363, 0.290, 0.366], [0.445, 0.525, 0.091], [0.595, 0.154, 0.846], [0.945, 0.091, 0.525], [0.611, 0.923, 0.077], [0.558, 0.865, 0.745], [0.863, 0.710, 0.634], [0.126, 0.514, 0.486], [0.923, 0.204, 0.796], [0.058, 0.135, 0.255], [0.058, 0.745, 0.865], [0.363, 0.634, 0.710], [0.558, 0.255, 0.135], [0.863, 0.366, 0.290], [0.945, 0.475, 0.909], [0.095, 0.846, 0.154], [0.445, 0.909, 0.475], [0.111, 0.077, 0.923], [0.626, 0.486, 0.514]], "formation_energy_uncorrected_kj_per_mol_fu": -457, "dft_energy_ev_per_atom": -2.607, "e_above_lowest_polymorph_mev_per_atom": 9.0, "magmom_total_mub_per_fu": 0.00, "volume_a3_per_fu": 357.85}



[4]
{"formula": "InAg2Br", "functional": "PBE-GGA", "state": "relaxed", "lattice": [[-3.738, 1.244, -4.868], [-2.844, -0.297, 2.108], [0.237, 4.384, 0.938]], "species": ["Ag", "In", "Br", "Ag"], "fractional_positions": [[0.000, 0.117, 0.124], [0.500, 0.633, 0.626], [0.000, 0.617, 0.625], [0.500, 0.133, 0.125]], "formation_energy_uncorrected_kj_per_mol_fu": 4, "dft_energy_ev_per_atom": -2.517, "e_above_lowest_polymorph_mev_per_atom": 79.7, "magmom_total_mub_per_fu": 0.00, "volume_a3_per_fu": 99.88}



[5]
{"formula": "InAgBr", "functional": "PBE-GGA", "state": "relaxed", "lattice": [[4.984, 0.000, 0.000], [2.492, 4.316, 0.000], [2.492, 1.439, 4.069]], "species": ["Br", "In", "Ag"], "fractional_positions": [[0.000, 0.000, 0.000], [0.500, 0.500, 0.500], [0.750, 0.750, 0.750]], "formation_energy_uncorrected_kj_per_mol_fu": -9, "dft_energy_ev_per_atom": -2.453, "e_above_lowest_polymorph_mev_per_atom": 224.1, "magmom_total_mub_per_fu": 0.00, "volume_a3_per_fu": 87.53}



[6]
{"formula": "In2AgBr", "functional": "PBE-GGA", "state": "relaxed", "lattice": [[0.000, 3.800, 3.800], [3.800, 0.000, 3.800], [3.800, 3.800, 0.000]], "species": ["Ag", "Br", "In", "In"], "fractional_positions": [[0.500, 0.500, 0.500], [0.000, 0.000, 0.000], [0.250, 0.250, 0.250], [0.750, 0.750, 0.750]], "formation_energy_uncorrected_kj_per_mol_fu": -19, "dft_energy_ev_per_atom": -2.551, "e_above_lowest_polymorph_mev_per_atom": 114.4, "magmom_total_mub_per_fu": 0.00, "volume_a3_per_fu": 109.77}



[7]
{"formula": "InAgBr", "functional": "PBE-GGA", "state": "relaxed", "lattice": [[4.001, 0.000, 0.000], [-2.000, 3.464, 0.000], [0.000, 0.000, 11.631]], "species": ["Ag", "In", "In", "Br", "Br", "Ag"], "fractional_positions": [[0.443, 0.886, 0.500], [0.776, 0.553, 0.350], [0.776, 0.553, 0.650], [0.113, 0.225, 0.844], [0.113, 0.225, 0.156], [0.446, 0.891, 0.000]], "formation_energy_uncorrected_kj_per_mol_fu": -51, "dft_energy_ev_per_atom": -2.596, "e_above_lowest_polymorph_mev_per_atom": 81.5, "magmom_total_mub_per_fu": 0.00, "volume_a3_per_fu": 80.59}



[8]
{"formula": "InAg2Br5", "functional": "PBE-GGA", "state": "relaxed", "lattice": [[-2.234, 4.456, -2.955], [-5.132, -5.162, 1.778], [-2.402, 6.271, 11.274]], "species": ["Ag", "In", "Ag", "Br", "In", "Br", "Ag", "Br", "Br", "Br", "Ag", "Br", "Br", "Br", "Br", "Br"], "fractional_positions": [[0.156, 0.312, 0.568], [0.207, 0.414, 0.250], [0.844, 0.688, 0.432], [0.736, 0.472, 0.250], [0.793, 0.586, 0.750], [0.935, 0.870, 0.614], [0.844, 0.688, 0.068], [0.264, 0.528, 0.750], [0.935, 0.870, 0.886], [0.065, 0.130, 0.114], [0.156, 0.312, 0.932], [0.664, 0.327, 0.902], [0.664, 0.327, 0.598], [0.336, 0.673, 0.098], [0.336, 0.673, 0.402], [0.065, 0.130, 0.386]], "formation_energy_uncorrected_kj_per_mol_fu": -404, "dft_energy_ev_per_atom": -2.624, "e_above_lowest_polymorph_mev_per_atom": 21.9, "magmom_total_mub_per_fu": 0.00, "volume_a3_per_fu": 262.74}



[9]
{"formula": "InAgBr", "functional": "PBE-GGA", "state": "relaxed", "lattice": [[-1.089, 6.874, -1.748], [-3.544, -0.210, 1.383], [3.996, 3.367, 10.748]], "species": ["Br", "Br", "In", "In", "Br", "Ag", "Ag", "Ag", "Ag", "Br", "In", "In"], "fractional_positions": [[0.750, 0.207, 0.301], [0.750, 0.293, 0.801], [0.750, 0.987, 0.085], [0.250, 0.487, 0.585], [0.250, 0.707, 0.801], [0.500, 0.500, 0.982], [0.500, 0.000, 0.482], [0.000, 0.000, 0.482], [0.000, 0.500, 0.982], [0.250, 0.793, 0.301], [0.750, 0.513, 0.585], [0.250, 0.013, 0.085]], "formation_energy_uncorrected_kj_per_mol_fu": -67, "dft_energy_ev_per_atom": -2.654, "e_above_lowest_polymorph_mev_per_atom": 23.8, "magmom_total_mub_per_fu": 0.00, "volume_a3_per_fu": 81.69}



[10]
{"formula": "InAg4Br", "functional": "PBE-GGA", "state": "relaxed", "lattice": [[-5.556, -0.462, 1.249], [-2.781, 4.415, 2.329], [-3.866, 2.879, -3.067]], "species": ["Ag", "Ag", "Ag", "Br", "In", "Ag"], "fractional_positions": [[0.375, 0.375, 0.375], [0.375, 0.375, 0.875], [0.375, 0.875, 0.375], [0.750, 0.750, 0.750], [0.000, 0.000, 0.000], [0.875, 0.375, 0.375]], "formation_energy_uncorrected_kj_per_mol_fu": 19, "dft_energy_ev_per_atom": -2.603, "magmom_total_mub_per_fu": 0.00, "volume_a3_per_fu": 131.88}



[11]
{"formula": "InAg2Br", "functional": "PBE-GGA", "state": "relaxed", "lattice": [[4.965, -0.004, -0.010], [-2.498, 5.520, 0.023], [-0.031, 1.226, 3.487]], "species": ["Ag", "Ag", "In", "Br"], "fractional_positions": [[0.000, 0.000, 0.000], [0.500, 0.000, 0.500], [0.500, 0.500, 0.000], [0.000, 0.500, 0.500]], "formation_energy_uncorrected_kj_per_mol_fu": 13, "dft_energy_ev_per_atom": -2.494, "e_above_lowest_polymorph_mev_per_atom": 102.9, "magmom_total_mub_per_fu": 0.00, "volume_a3_per_fu": 95.42}



[12]
{"formula": "In2AgBr", "functional": "PBE-GGA", "state": "relaxed", "lattice": [[6.843, 0.000, 0.000], [0.000, 6.843, 0.000], [3.421, 3.421, 6.570]], "species": ["Br", "In", "Ag", "Ag", "In", "In", "Br", "In"], "fractional_positions": [[0.500, 0.500, 0.000], [0.375, 0.332, 0.750], [0.000, 0.000, 0.000], [0.750, 0.250, 0.500], [0.668, 0.125, 0.250], [0.082, 0.625, 0.250], [0.250, 0.750, 0.500], [0.875, 0.918, 0.750]], "formation_energy_uncorrected_kj_per_mol_fu": -19, "dft_energy_ev_per_atom": -2.548, "e_above_lowest_polymorph_mev_per_atom": 116.6, "magmom_total_mub_per_fu": 0.00, "volume_a3_per_fu": 153.82}



[13]
{"formula": "InAgBr", "functional": "PBE-GGA", "state": "relaxed", "lattice": [[4.797, 0.000, -0.015], [0.000, 5.988, 0.000], [-4.796, 0.000, 11.483]], "species": ["In", "Ag", "Ag", "Ag", "In", "Br", "Br", "Br", "In", "Br", "Ag", "In"], "fractional_positions": [[0.567, 0.031, 0.816], [0.973, 0.281, 0.750], [0.973, 0.781, 0.250], [0.027, 0.281, 0.250], [0.433, 0.531, 0.684], [0.000, 0.770, 0.000], [0.500, 0.791, 0.500], [0.000, 0.270, 0.500], [0.567, 0.531, 0.316], [0.500, 0.291, 0.000], [0.027, 0.781, 0.750], [0.433, 0.031, 0.184]], "formation_energy_uncorrected_kj_per_mol_fu": -66, "dft_energy_ev_per_atom": -2.649, "e_above_lowest_polymorph_mev_per_atom": 28.4, "magmom_total_mub_per_fu": 0.00, "volume_a3_per_fu": 82.36}



[14]
{"formula": "InAg2Br", "functional": "PBE-GGA", "state": "relaxed", "lattice": [[-0.128, 5.718, 1.210], [-4.310, 2.452, -3.097], [1.429, -3.750, 4.251]], "species": ["Ag", "Ag", "Br", "In"], "fractional_positions": [[0.495, 0.495, 0.000], [0.005, 0.005, 0.000], [0.750, 0.250, 0.500], [0.250, 0.750, 0.500]], "formation_energy_uncorrected_kj_per_mol_fu": 0, "dft_energy_ev_per_atom": -2.527, "e_above_lowest_polymorph_mev_per_atom": 69.5, "magmom_total_mub_per_fu": 0.00, "volume_a3_per_fu": 94.92}



[15]
{"formula": "In2AgBr8", "functional": "PBE-GGA", "state": "relaxed", "lattice": [[8.512, 0.000, 0.000], [0.000, 6.916, -3.993], [0.000, 0.000, 7.986]], "species": ["Br", "Br", "Br", "Br", "Ag", "In", "Br", "In", "Br", "Br", "Br"], "fractional_positions": [[0.716, 0.847, 0.153], [0.083, 0.667, 0.333], [0.284, 0.153, 0.307], [0.284, 0.693, 0.847], [0.500, 0.000, 0.000], [0.214, 0.333, 0.667], [0.716, 0.307, 0.153], [0.786, 0.667, 0.333], [0.716, 0.847, 0.693], [0.284, 0.153, 0.847], [0.917, 0.333, 0.667]], "formation_energy_uncorrected_kj_per_mol_fu": -549, "dft_energy_ev_per_atom": -2.491, "magmom_total_mub_per_fu": 0.01, "volume_a3_per_fu": 470.09}



[16]
{"formula": "In3AgBr", "functional": "PBE-GGA", "state": "relaxed", "lattice": [[-4.989, -2.565, -1.948], [2.522, -5.345, 0.579], [-2.003, -0.341, 5.580]], "species": ["Ag", "Br", "In", "In", "In"], "fractional_positions": [[0.500, 0.500, 0.500], [0.000, 0.000, 0.000], [0.000, 0.000, 0.500], [0.500, 0.000, 0.000], [0.000, 0.500, 0.000]], "formation_energy_uncorrected_kj_per_mol_fu": 195, "dft_energy_ev_per_atom": -2.143, "e_above_lowest_polymorph_mev_per_atom": 482.6, "magmom_total_mub_per_fu": 0.00, "volume_a3_per_fu": 209.42}



[17]
{"formula": "InAg6Br12", "functional": "PBE-GGA", "state": "relaxed", "lattice": [[-3.592, 8.205, -0.914], [-5.274, -0.896, -7.242], [-8.204, -0.973, 3.580]], "species": ["In", "Br", "Br", "Br", "Br", "Br", "Ag", "Ag", "Ag", "Ag", "Br", "Ag", "Ag", "Br", "Br", "Br", "Br", "Br", "Br"], "fractional_positions": [[0.000, 0.000, 0.000], [0.310, 0.939, 0.004], [0.690, 0.061, 0.996], [0.996, 0.690, 0.061], [0.438, 0.583, 0.818], [0.004, 0.310, 0.939], [0.113, 0.296, 0.605], [0.887, 0.704, 0.395], [0.395, 0.887, 0.704], [0.704, 0.395, 0.887], [0.583, 0.818, 0.438], [0.296, 0.605, 0.113], [0.605, 0.113, 0.296], [0.417, 0.182, 0.562], [0.562, 0.417, 0.182], [0.061, 0.996, 0.690], [0.818, 0.438, 0.583], [0.939, 0.004, 0.310], [0.182, 0.562, 0.417]], "formation_energy_uncorrected_kj_per_mol_fu": -686, "dft_energy_ev_per_atom": -2.475, "magmom_total_mub_per_fu": 0.00, "volume_a3_per_fu": 681.21}



[18]
{"formula": "In2Ag2Br", "functional": "PBE-GGA", "state": "relaxed", "lattice": [[3.962, 0.000, 0.000], [0.000, 3.962, 0.000], [1.981, 1.981, 8.447]], "species": ["Ag", "In", "Br", "Ag", "In"], "fractional_positions": [[0.750, 0.250, 0.500], [0.393, 0.393, 0.213], [0.000, 0.000, 0.000], [0.250, 0.750, 0.500], [0.607, 0.607, 0.787]], "formation_energy_uncorrected_kj_per_mol_fu": -21, "dft_energy_ev_per_atom": -2.614, "e_above_lowest_polymorph_mev_per_atom": 17.2, "magmom_total_mub_per_fu": 0.00, "volume_a3_per_fu": 132.61}



[19]
{"formula": "In3AgBr6", "functional": "PBE-GGA", "state": "relaxed", "lattice": [[-0.853, 7.403, 0.066], [-0.644, -0.004, -7.909], [-10.678, -1.376, 0.870]], "species": ["In", "Br", "In", "In", "Ag", "Br", "Br", "Br", "Br", "Br", "In", "Br", "Br", "Br", "Br", "Br", "In", "Br", "Ag", "In"], "fractional_positions": [[0.500, 0.500, 0.000], [0.905, 0.985, 0.254], [0.000, 0.000, 0.500], [0.972, 0.414, 0.752], [0.000, 0.000, 0.000], [0.405, 0.515, 0.754], [0.302, 0.813, 0.458], [0.802, 0.687, 0.958], [0.595, 0.485, 0.246], [0.184, 0.293, 0.457], [0.028, 0.586, 0.248], [0.198, 0.313, 0.042], [0.684, 0.207, 0.957], [0.816, 0.707, 0.543], [0.095, 0.015, 0.746], [0.698, 0.187, 0.542], [0.528, 0.914, 0.748], [0.316, 0.793, 0.043], [0.500, 0.500, 0.500], [0.472, 0.086, 0.252]], "formation_energy_uncorrected_kj_per_mol_fu": -619, "dft_energy_ev_per_atom": -2.752, "magmom_total_mub_per_fu": 0.00, "volume_a3_per_fu": 319.36}



[20]
{"formula": "InAg2Br", "functional": "PBE-GGA", "state": "relaxed", "lattice": [[-1.578, -1.036, -2.949], [1.877, -2.421, 1.697], [-6.962, -2.236, 4.511]], "species": ["In", "Ag", "Ag", "Br"], "fractional_positions": [[0.500, 0.500, 0.750], [0.000, 0.000, 0.499], [0.000, 0.000, 0.001], [0.500, 0.500, 0.250]], "formation_energy_uncorrected_kj_per_mol_fu": 4, "dft_energy_ev_per_atom": -2.519, "e_above_lowest_polymorph_mev_per_atom": 77.9, "magmom_total_mub_per_fu": 0.00, "volume_a3_per_fu": 94.34}



[21]
{"formula": "In2Ag2Br", "functional": "PBE-GGA", "state": "relaxed", "lattice": [[8.271, 0.000, 0.000], [0.000, 8.271, 0.000], [0.000, 0.000, 3.496]], "species": ["Br", "Ag", "In", "In", "Ag", "Br", "Ag", "In", "In", "Ag"], "fractional_positions": [[0.500, 0.500, 0.000], [0.879, 0.621, 0.000], [0.823, 0.323, 0.500], [0.177, 0.677, 0.500], [0.121, 0.379, 0.000], [0.000, 0.000, 0.000], [0.621, 0.121, 0.000], [0.677, 0.823, 0.500], [0.323, 0.177, 0.500], [0.379, 0.879, 0.000]], "formation_energy_uncorrected_kj_per_mol_fu": -29, "dft_energy_ev_per_atom": -2.631, "e_above_lowest_polymorph_mev_per_atom": 0.0, "magmom_total_mub_per_fu": 0.00, "volume_a3_per_fu": 119.56}



[22]
{"formula": "In2AgBr", "functional": "PBE-GGA", "state": "relaxed", "lattice": [[-0.179, -6.119, 2.399], [-1.166, -5.335, -3.662], [3.707, 5.429, 0.099]], "species": ["In", "Ag", "Br", "In"], "fractional_positions": [[0.000, 0.000, 0.000], [0.500, 0.500, 0.000], [0.750, 0.250, 0.500], [0.250, 0.750, 0.500]], "formation_energy_uncorrected_kj_per_mol_fu": -23, "dft_energy_ev_per_atom": -2.560, "e_above_lowest_polymorph_mev_per_atom": 104.7, "magmom_total_mub_per_fu": 0.00, "volume_a3_per_fu": 111.15}



[23]
{"formula": "InAg2Br", "functional": "PBE-GGA", "state": "relaxed", "lattice": [[7.818, 0.000, 0.000], [0.000, 7.818, 0.000], [3.909, 3.909, 3.190]], "species": ["Ag", "Br", "Ag", "Br", "In", "In", "Ag", "Ag"], "fractional_positions": [[0.375, 0.374, 0.750], [0.250, 0.750, 0.500], [0.626, 0.125, 0.250], [0.500, 0.500, 0.000], [0.000, 0.000, 0.000], [0.750, 0.250, 0.500], [0.875, 0.876, 0.750], [0.124, 0.625, 0.250]], "formation_energy_uncorrected_kj_per_mol_fu": 7, "dft_energy_ev_per_atom": -2.509, "e_above_lowest_polymorph_mev_per_atom": 87.8, "magmom_total_mub_per_fu": 0.00, "volume_a3_per_fu": 97.49}